The following is a DFT calculation (PBE) of crystalline CdGa4Hg at its relaxed geometry.

Cell: 3.6488 5.4382 6.4120 Å, 88.86 88.47 83.46°
With the nearest neighbours (Å) after each atom.
Space group P1 (No. 1)
Asymmetric unit:
Cd 0.0000 0.0000 0.0000  6 Ga 2.87-3.00, 2 Hg 3.10
Ga 0.0326 0.6867 0.6435  3 Ga 2.73-2.80, 1 Cd 2.87, 1 Hg 2.98
Ga 0.4932 0.1691 0.6578  3 Ga 2.73-2.79, 1 Hg 2.86, 2 Cd 2.97-3.00
Ga 0.5086 0.8293 0.3412  3 Ga 2.73-2.80, 1 Hg 2.86, 2 Cd 2.97-2.99
Ga 0.9694 0.3137 0.3561  3 Ga 2.73-2.80, 1 Cd 2.87, 1 Hg 2.99
Hg 0.5000 0.4997 0.9994  6 Ga 2.86-3.18, 2 Cd 3.10

- calculated total energy (eV/cell) = -12.9
- formation enthalpy at 0 K (eV/f.u.) = 0.40
- V (Å³/cell) = 126.3
- calculated density (g/cm³) = 7.8